1.
DFT (GGA-PBE) results for a relaxed NaEuPtPb crystal.

Calculated values
Energy of formation from the pure elements (eV per atom): -0.427
SG: F-43m (216)
E_tot (eV/cell): -23.1

Structure (POSCAR):
```
NaEuPtPb
1.0
0.000 3.601 3.601
3.601 0.000 3.601
3.601 3.601 0.000
Na Eu Pt Pb
1 1 1 1
Direct
0.000 0.000 0.000
0.750 0.750 0.750
0.500 0.500 0.500
0.250 0.250 0.250
```



2.
DFT (GGA-PBE) results for a relaxed Sm2Sn6Ru crystal.

Calculated values
Energy of formation from the pure elements (eV per atom): -0.285
SG: C2/m (12)
E_tot (eV/cell): -45.3

Structure (POSCAR):
```
Sm2Sn6Ru
1.0
8.645 -3.495 0.000
8.645 3.495 0.000
-0.005 0.000 4.006
Sm Sn Ru
2 6 1
Direct
0.220 0.220 0.002
0.780 0.780 0.998
0.157 0.566 0.499
0.229 0.771 0.000
0.434 0.843 0.501
0.566 0.157 0.499
0.771 0.229 0.000
0.843 0.434 0.501
0.500 0.500 0.500
```



3.
DFT (GGA-PBE) results for a relaxed CaCdF3 crystal.

Calculated values
Energy above the lowest structure with this stoichiometry (meV/atom): 553.5
SG: Pm-3m (221)
E_tot (eV/cell): -19.6
Formation energy without anion corrections (kJ/mol of atoms): -212.9

Structure (POSCAR):
```
CaCdF3
1.0
4.518 0.000 0.000
0.000 4.518 0.000
0.000 0.000 4.518
Ca Cd F
1 1 3
Direct
0.000 0.000 0.000
0.500 0.500 0.500
0.000 0.500 0.500
0.500 0.000 0.500
0.500 0.500 0.000
```



4.
DFT (GGA-PBE) results for a relaxed CeCdAg crystal.

Calculated values
Energy of formation from the pure elements (eV per atom): -0.127
SG: Ama2 (40)
E_tot (eV/cell): -20.2

Structure (POSCAR):
```
CeCdAg
1.0
4.748 0.000 0.000
0.000 2.501 5.861
0.000 -2.501 5.861
Ce Cd Ag
2 2 2
Direct
0.250 0.183 0.817
0.750 0.817 0.183
0.250 0.883 0.501
0.750 0.501 0.883
0.250 0.506 0.141
0.750 0.141 0.506
```



5.
DFT (GGA-PBE) results for a relaxed AlAsIr crystal.

Calculated values
Energy of formation from the pure elements (eV per atom): -0.187
SG: P3m1 (156)
E_tot (eV/cell): -17.8

Structure (POSCAR):
```
AlAsIr
1.0
3.112 0.000 0.000
-1.556 2.695 0.000
0.000 0.000 5.796
Al As Ir
1 1 1
Direct
0.000 0.000 0.000
0.667 0.333 0.368
0.333 0.667 0.684
```



6.
DFT (GGA-PBE) results for a relaxed TlFeTe3 crystal.

Calculated values
SG: Pm-3m (221)
E_tot (eV/cell): -18.8
Formation energy without anion corrections (kJ/mol of atoms): 27.5

Structure (POSCAR):
```
TlFeTe3
1.0
5.178 0.000 0.000
0.000 5.178 0.000
0.000 0.000 5.178
Tl Fe Te
1 1 3
Direct
0.000 0.000 0.000
0.500 0.500 0.500
0.000 0.500 0.500
0.500 0.000 0.500
0.500 0.500 0.000
```



7.
DFT (GGA-PBE) results for a relaxed Sr3LaMg8 crystal.

Calculated values
Energy of formation from the pure elements (eV per atom): -0.101
SG: R3m (160)
E_tot (eV/cell): -23.9

Structure (POSCAR):
```
Sr3LaMg8
1.0
3.190 1.842 10.395
-3.190 1.842 10.395
0.000 -3.684 10.395
Sr La Mg
3 1 8
Direct
0.000 0.000 0.000
0.126 0.126 0.126
0.502 0.502 0.502
0.626 0.626 0.626
0.060 0.564 0.564
0.065 0.065 0.564
0.065 0.564 0.065
0.313 0.313 0.313
0.564 0.060 0.564
0.564 0.065 0.065
0.564 0.564 0.060
0.813 0.813 0.813
```



8.
DFT (GGA-PBE) results for a relaxed YGe5 crystal.

Calculated values
Energy of formation from the pure elements (eV per atom): -0.106
SG: Cmmm (65)
E_tot (eV/cell): -30.2

Structure (POSCAR):
```
YGe5
1.0
2.414 -6.739 0.000
2.414 6.739 0.000
0.000 0.000 3.724
Y Ge
1 5
Direct
0.000 0.000 0.000
0.190 0.810 0.500
0.346 0.654 0.000
0.500 0.500 0.500
0.654 0.346 0.000
0.810 0.190 0.500
```



9.
DFT (GGA-PBE) results for a relaxed TmNi4Ag crystal.

Calculated values
Energy of formation from the pure elements (eV per atom): -0.309
SG: F-43m (216)
E_tot (eV/cell): -32.3

Structure (POSCAR):
```
TmNi4Ag
1.0
0.000 3.476 3.476
3.476 0.000 3.476
3.476 3.476 0.000
Tm Ni Ag
1 4 1
Direct
0.000 0.000 0.000
0.126 0.625 0.625
0.625 0.126 0.625
0.625 0.625 0.126
0.625 0.625 0.625
0.250 0.250 0.250
```



10.
DFT (GGA-PBE) results for a relaxed TbDyFeHg crystal.

Calculated values
Energy of formation from the pure elements (eV per atom): -0.088
SG: F-43m (216)
E_tot (eV/cell): -18.3

Structure (POSCAR):
```
TbDyFeHg
1.0
0.000 3.584 3.584
3.584 0.000 3.584
3.584 3.584 0.000
Tb Dy Fe Hg
1 1 1 1
Direct
0.000 0.000 0.000
0.500 0.500 0.500
0.750 0.750 0.750
0.250 0.250 0.250
```



11.
DFT (GGA-PBE) results for a relaxed InAg5Bi crystal.

Calculated values
Energy of formation from the pure elements (eV per atom): 0.087
SG: P4/mmm (123)
E_tot (eV/cell): -20.3

Structure (POSCAR):
```
InAg5Bi
1.0
4.094 0.000 0.000
0.000 4.094 0.000
0.000 0.000 9.069
In Ag Bi
1 5 1
Direct
0.000 0.000 0.000
0.000 0.500 0.247
0.000 0.500 0.753
0.500 0.000 0.247
0.500 0.000 0.753
0.500 0.500 0.000
0.500 0.500 0.500
```



12.
DFT (GGA-PBE) results for a relaxed CeNiPbS4 crystal.

Calculated values
SG: P2_1/m (11)
E_tot (eV/cell): -77.1
Formation energy without anion corrections (kJ/mol of atoms): -91.4

Structure (POSCAR):
```
CeNiPbS4
1.0
6.761 0.000 0.000
0.000 5.612 0.000
-2.356 0.000 7.938
Ce Ni Pb S
2 2 2 8
Direct
0.238 0.250 0.442
0.762 0.750 0.558
0.263 0.750 0.673
0.737 0.250 0.327
0.214 0.250 0.945
0.786 0.750 0.055
0.071 0.750 0.860
0.081 0.750 0.407
0.486 0.506 0.268
0.486 0.994 0.268
0.514 0.006 0.732
0.514 0.494 0.732
0.919 0.250 0.593
0.929 0.250 0.140
```